First-principles (PBE+U) data for a relaxed structure of NaCrFeF6, as listed in Alexandria.

Calculated values
D(E_F) = 13.58 states/eV per cell
total DFT energy (no corrections) = -5.41 eV/atom
volume = 243.97 Å³/cell

Cell lengths 5.375, 5.375, 9.750 Å; angles 90.00, 90.00, 120.00 degrees
Last column: magnetic moment on the atom in μB.
Element x y z (fractional)
Na 0.000 0.000 0.000  0.00
Na 0.000 0.000 0.500  0.00
Cr 0.667 0.333 0.250  2.94
Cr 0.333 0.667 0.750  2.94
Fe 0.333 0.667 0.250  3.82
Fe 0.667 0.333 0.750  3.82
F 0.651 0.630 0.141  0.02
F 0.979 0.349 0.141  0.02
F 0.349 0.979 0.641  0.02
F 0.021 0.651 0.859  0.02
F 0.370 0.349 0.359  0.02
F 0.979 0.630 0.359  0.02
F 0.630 0.979 0.859  0.02
F 0.651 0.021 0.359  0.02
F 0.021 0.370 0.641  0.02
F 0.370 0.021 0.141  0.02
F 0.630 0.651 0.641  0.02
F 0.349 0.370 0.859  0.02